Mn3FeCo2P6O24 GGA+U relaxed; uncorrected energy = -7.07 eV per atom
1.0
4.297 2.481 6.844
-4.297 2.481 6.844
0.000 -4.962 6.844
Mn Fe Co P O
3 1 2 6 24
Direct
0.000 0.000 0.000
0.215 0.215 0.215
0.500 0.500 0.500
0.714 0.714 0.714
0.359 0.359 0.359
0.857 0.857 0.857
0.106 0.818 0.400
0.310 0.606 0.903
0.400 0.106 0.818
0.606 0.903 0.310
0.818 0.400 0.106
0.903 0.310 0.606
0.035 0.855 0.247
0.104 0.299 0.442
0.108 0.763 0.924
0.177 0.975 0.359
0.247 0.035 0.855
0.266 0.618 0.412
0.299 0.442 0.104
0.341 0.545 0.745
0.359 0.177 0.975
0.412 0.266 0.618
0.442 0.104 0.299
0.469 0.668 0.866
0.545 0.745 0.341
0.601 0.949 0.804
0.618 0.412 0.266
0.668 0.866 0.469
0.745 0.341 0.545
0.763 0.924 0.108
0.804 0.601 0.949
0.855 0.247 0.035
0.866 0.469 0.668
0.924 0.108 0.763
0.949 0.804 0.601
0.975 0.359 0.177